VASP calculation (GGA-PBE) on an optimized crystal structure of ScZnI2O.

**Distance to the lowest polymorph of the same formula**: 590.6 meV per atom
**Formation energy from raw total energies**: -496 meV/atom

The structure in CIF format:
```
data_ScZnI2O
_chemical_formula_sum 'Sc1 Zn1 I2 O1'
_space_group_name_H-M_alt 'P 1'
_space_group_IT_number 1
_space_group_name_Hall 'P 1'
_cell_length_a 5.752
_cell_length_b 5.752
_cell_length_c 3.660
_cell_angle_alpha 90.00
_cell_angle_beta 90.00
_cell_angle_gamma 90.00
loop_
_atom_site_label
_atom_site_type_symbol
_atom_site_fract_x
_atom_site_fract_y
_atom_site_fract_z
Sc1 Sc 0.000 0.000 0.000
Zn1 Zn 0.500 0.500 0.500
I1 I 0.000 0.500 0.500
I2 I 0.500 0.000 0.500
O1 O 0.500 0.500 0.000
```

VASP calculation (GGA-PBE) on an optimized crystal structure of CoRh2Se.

**Formation energy from raw total energies**: 412 meV/atom

The structure in CIF format:
```
data_CoRh2Se
_chemical_formula_sum 'Co2 Rh4 Se2'
_space_group_name_H-M_alt 'P 1'
_space_group_IT_number 1
_space_group_name_Hall 'P 1'
_cell_length_a 2.797
_cell_length_b 4.781
_cell_length_c 8.750
_cell_angle_alpha 90.00
_cell_angle_beta 90.00
_cell_angle_gamma 90.00
loop_
_atom_site_label
_atom_site_type_symbol
_atom_site_fract_x
_atom_site_fract_y
_atom_site_fract_z
Co1 Co 0.000 0.000 0.000
Co2 Co 0.500 0.500 0.000
Rh1 Rh 0.000 0.000 0.501
Rh2 Rh 0.000 0.500 0.238
Rh3 Rh 0.500 0.000 0.238
Rh4 Rh 0.500 0.500 0.501
Se1 Se 0.000 0.500 0.761
Se2 Se 0.500 0.000 0.761
```

VASP calculation (GGA-PBE) on an optimized crystal structure of LiP2SeCl.

**Distance to the lowest polymorph of the same formula**: 0.0 meV per atom
**Formation energy from raw total energies**: 411 meV/atom

The structure in CIF format:
```
data_LiP2SeCl
_chemical_formula_sum 'Li1 P2 Se1 Cl1'
_space_group_name_H-M_alt 'P 1'
_space_group_IT_number 1
_space_group_name_Hall 'P 1'
_cell_length_a 4.659
_cell_length_b 4.659
_cell_length_c 7.455
_cell_angle_alpha 90.00
_cell_angle_beta 90.00
_cell_angle_gamma 90.00
loop_
_atom_site_label
_atom_site_type_symbol
_atom_site_fract_x
_atom_site_fract_y
_atom_site_fract_z
Li1 Li 0.000 0.000 0.000
P1 P 0.000 0.500 0.500
P2 P 0.500 0.000 0.500
Se1 Se 0.500 0.500 0.500
Cl1 Cl 0.500 0.500 0.000
```

VASP calculation (GGA-PBE) on an optimized crystal structure of Hf2Pa.

**Distance to the lowest polymorph of the same formula**: 137.6 meV per atom
**ΔE_f**: 0.315 eV per atom

The structure in CIF format:
```
data_Hf2Pa
_chemical_formula_sum 'Hf4 Pa2'
_space_group_name_H-M_alt 'P 1'
_space_group_IT_number 1
_space_group_name_Hall 'P 1'
_cell_length_a 5.865
_cell_length_b 5.865
_cell_length_c 5.865
_cell_angle_alpha 60.00
_cell_angle_beta 60.00
_cell_angle_gamma 60.00
loop_
_atom_site_label
_atom_site_type_symbol
_atom_site_fract_x
_atom_site_fract_y
_atom_site_fract_z
Hf1 Hf 0.000 0.000 0.000
Hf2 Hf 0.000 0.000 0.500
Hf3 Hf 0.000 0.500 0.000
Hf4 Hf 0.500 0.000 0.000
Pa1 Pa 0.375 0.375 0.375
Pa2 Pa 0.625 0.625 0.625
```

VASP calculation (GGA-PBE) on an optimized crystal structure of ScTiZn6.

**ΔE_f**: -0.235 eV per atom

The structure in CIF format:
```
data_ScTiZn6
_chemical_formula_sum 'Sc2 Ti2 Zn12'
_space_group_name_H-M_alt 'P 1'
_space_group_IT_number 1
_space_group_name_Hall 'P 1'
_cell_length_a 4.351
_cell_length_b 5.780
_cell_length_c 9.994
_cell_angle_alpha 90.00
_cell_angle_beta 90.00
_cell_angle_gamma 90.00
loop_
_atom_site_label
_atom_site_type_symbol
_atom_site_fract_x
_atom_site_fract_y
_atom_site_fract_z
Sc1 Sc 0.000 0.000 0.000
Sc2 Sc 0.000 0.500 0.500
Ti1 Ti 0.500 0.000 0.668
Ti2 Ti 0.500 0.500 0.168
Zn1 Zn 0.000 0.000 0.500
Zn2 Zn 0.000 0.247 0.251
Zn3 Zn 0.000 0.253 0.751
Zn4 Zn 0.000 0.500 0.000
Zn5 Zn 0.000 0.747 0.751
Zn6 Zn 0.000 0.753 0.251
Zn7 Zn 0.500 0.000 0.174
Zn8 Zn 0.500 0.238 0.414
Zn9 Zn 0.500 0.262 0.914
Zn10 Zn 0.500 0.500 0.674
Zn11 Zn 0.500 0.738 0.914
Zn12 Zn 0.500 0.762 0.414
```

VASP calculation (GGA-PBE) on an optimized crystal structure of AlCdGa4.

**Distance to the lowest polymorph of the same formula**: 110.0 meV per atom
**ΔE_f**: 0.173 eV per atom

The structure in CIF format:
```
data_AlCdGa4
_chemical_formula_sum 'Al1 Cd1 Ga4'
_space_group_name_H-M_alt 'P 1'
_space_group_IT_number 1
_space_group_name_Hall 'P 1'
_cell_length_a 5.573
_cell_length_b 5.573
_cell_length_c 5.573
_cell_angle_alpha 60.00
_cell_angle_beta 60.00
_cell_angle_gamma 60.00
loop_
_atom_site_label
_atom_site_type_symbol
_atom_site_fract_x
_atom_site_fract_y
_atom_site_fract_z
Al1 Al 0.000 0.000 0.000
Cd1 Cd 0.250 0.250 0.250
Ga1 Ga 0.125 0.625 0.625
Ga2 Ga 0.625 0.125 0.625
Ga3 Ga 0.625 0.625 0.125
Ga4 Ga 0.625 0.625 0.625
```

VASP calculation (GGA-PBE) on an optimized crystal structure of Li2BeSi2Pd5.

**Formation energy from raw total energies**: -563 meV/atom

The structure in CIF format:
```
data_Li2BeSi2Pd5
_chemical_formula_sum 'Li4 Be2 Si4 Pd10'
_space_group_name_H-M_alt 'P 1'
_space_group_IT_number 1
_space_group_name_Hall 'P 1'
_cell_length_a 10.141
_cell_length_b 10.141
_cell_length_c 2.843
_cell_angle_alpha 90.00
_cell_angle_beta 90.00
_cell_angle_gamma 90.00
loop_
_atom_site_label
_atom_site_type_symbol
_atom_site_fract_x
_atom_site_fract_y
_atom_site_fract_z
Li1 Li 0.172 0.328 0.000
Li2 Li 0.328 0.828 0.000
Li3 Li 0.672 0.172 0.000
Li4 Li 0.828 0.672 0.000
Be1 Be 0.000 0.000 0.000
Be2 Be 0.500 0.500 0.000
Si1 Si 0.139 0.639 0.000
Si2 Si 0.361 0.139 0.000
Si3 Si 0.639 0.861 0.000
Si4 Si 0.861 0.361 0.000
Pd1 Pd 0.000 0.500 0.500
Pd2 Pd 0.054 0.811 0.500
Pd3 Pd 0.189 0.054 0.500
Pd4 Pd 0.311 0.554 0.500
Pd5 Pd 0.446 0.311 0.500
Pd6 Pd 0.500 0.000 0.500
Pd7 Pd 0.554 0.689 0.500
Pd8 Pd 0.689 0.446 0.500
Pd9 Pd 0.811 0.946 0.500
Pd10 Pd 0.946 0.189 0.500
```

VASP calculation (GGA-PBE) on an optimized crystal structure of Ag5Pb.

**Distance to the lowest polymorph of the same formula**: 11.6 meV per atom
**ΔE_f**: 0.076 eV per atom

The structure in CIF format:
```
data_Ag5Pb
_chemical_formula_sum 'Ag10 Pb2'
_space_group_name_H-M_alt 'P 1'
_space_group_IT_number 1
_space_group_name_Hall 'P 1'
_cell_length_a 5.111
_cell_length_b 9.290
_cell_length_c 5.143
_cell_angle_alpha 90.00
_cell_angle_beta 103.96
_cell_angle_gamma 90.00
loop_
_atom_site_label
_atom_site_type_symbol
_atom_site_fract_x
_atom_site_fract_y
_atom_site_fract_z
Ag1 Ag 0.000 0.000 0.000
Ag2 Ag 0.000 0.167 0.500
Ag3 Ag 0.000 0.324 0.000
Ag4 Ag 0.000 0.676 0.000
Ag5 Ag 0.000 0.833 0.500
Ag6 Ag 0.500 0.176 0.000
Ag7 Ag 0.500 0.333 0.500
Ag8 Ag 0.500 0.500 0.000
Ag9 Ag 0.500 0.667 0.500
Ag10 Ag 0.500 0.824 0.000
Pb1 Pb 0.000 0.500 0.500
Pb2 Pb 0.500 0.000 0.500
```

VASP calculation (GGA-PBE) on an optimized crystal structure of TaMoIr3.

**Distance to the lowest polymorph of the same formula**: 0.0 meV per atom
**ΔE_f**: 1.639 eV per atom

The structure in CIF format:
```
data_TaMoIr3
_chemical_formula_sum 'Ta1 Mo1 Ir3'
_space_group_name_H-M_alt 'P 1'
_space_group_IT_number 1
_space_group_name_Hall 'P 1'
_cell_length_a 4.658
_cell_length_b 4.658
_cell_length_c 4.658
_cell_angle_alpha 90.00
_cell_angle_beta 90.00
_cell_angle_gamma 90.00
loop_
_atom_site_label
_atom_site_type_symbol
_atom_site_fract_x
_atom_site_fract_y
_atom_site_fract_z
Ta1 Ta 0.000 0.000 0.000
Mo1 Mo 0.500 0.500 0.500
Ir1 Ir 0.000 0.500 0.500
Ir2 Ir 0.500 0.000 0.500
Ir3 Ir 0.500 0.500 0.000
```

VASP calculation (GGA-PBE) on an optimized crystal structure of La4Dy5Y.

**Distance to the lowest polymorph of the same formula**: 3.5 meV per atom
**ΔE_f**: 0.192 eV per atom

The structure in CIF format:
```
data_La4Dy5Y
_chemical_formula_sum 'La4 Dy5 Y1'
_space_group_name_H-M_alt 'P 1'
_space_group_IT_number 1
_space_group_name_Hall 'P 1'
_cell_length_a 8.798
_cell_length_b 8.798
_cell_length_c 11.480
_cell_angle_alpha 90.14
_cell_angle_beta 90.14
_cell_angle_gamma 23.30
loop_
_atom_site_label
_atom_site_type_symbol
_atom_site_fract_x
_atom_site_fract_y
_atom_site_fract_z
La1 La 0.033 0.033 0.249
La2 La 0.338 0.338 0.250
La3 La 0.662 0.662 0.750
La4 La 0.967 0.967 0.751
Dy1 Dy 0.173 0.173 0.049
Dy2 Dy 0.173 0.173 0.450
Dy3 Dy 0.500 0.500 0.000
Dy4 Dy 0.827 0.827 0.550
Dy5 Dy 0.827 0.827 0.951
Y1 Y 0.500 0.500 0.500
```

VASP calculation (GGA-PBE) on an optimized crystal structure of BaHg2Pb.

**Distance to the lowest polymorph of the same formula**: 0.0 meV per atom
**ΔE_f**: -0.429 eV per atom

The structure in CIF format:
```
data_BaHg2Pb
_chemical_formula_sum 'Ba4 Hg8 Pb4'
_space_group_name_H-M_alt 'P 1'
_space_group_IT_number 1
_space_group_name_Hall 'P 1'
_cell_length_a 7.948
_cell_length_b 7.948
_cell_length_c 7.948
_cell_angle_alpha 90.00
_cell_angle_beta 90.00
_cell_angle_gamma 90.00
loop_
_atom_site_label
_atom_site_type_symbol
_atom_site_fract_x
_atom_site_fract_y
_atom_site_fract_z
Ba1 Ba 0.000 0.000 0.000
Ba2 Ba 0.000 0.500 0.500
Ba3 Ba 0.500 0.000 0.500
Ba4 Ba 0.500 0.500 0.000
Hg1 Hg 0.250 0.250 0.250
Hg2 Hg 0.250 0.250 0.750
Hg3 Hg 0.250 0.750 0.250
Hg4 Hg 0.250 0.750 0.750
Hg5 Hg 0.750 0.250 0.250
Hg6 Hg 0.750 0.250 0.750
Hg7 Hg 0.750 0.750 0.250
Hg8 Hg 0.750 0.750 0.750
Pb1 Pb 0.000 0.000 0.500
Pb2 Pb 0.000 0.500 0.000
Pb3 Pb 0.500 0.000 0.000
Pb4 Pb 0.500 0.500 0.500
```

Number 1: spin magnetization 0.00 μB/f.u.. Number 2: spin magnetization 2.00 μB/f.u.. Number 3: spin magnetization 0.00 μB/f.u.. Number 4: spin magnetization 0.00 μB/f.u.. Number 5: spin magnetization 0.00 μB/f.u.. Number 6: spin magnetization 0.00 μB/f.u.. Number 7: spin magnetization 0.00 μB/f.u.. Number 8: spin magnetization 0.00 μB/f.u.. Number 9: spin magnetization 0.01 μB/f.u.. Number 10: spin magnetization 0.00 μB/f.u.. Number 11: spin magnetization 0.00 μB/f.u..